La4AgAuN: optimized geometry, PBE-GGA.

Properties
The value obtained for the raw formation energy is -0.66 eV/atom. The crystal system is orthorhombic. For the raw total energy, the calculation gives -5.54 eV/atom.

a b c (Å): 7.1951 15.1535 7.2102
angles (deg): 90.00 90.00 90.00
Space group Cmcm (No. 63)
One atom of each set of equivalent atoms:
La (0.0000, 0.0745, 0.2500)
La (0.0000, 0.4206, 0.2500)
La (0.2500, 0.2500, 0.0000)
Ag (0.0000, 0.3810, 0.7500)
Au (0.0000, 0.1211, 0.7500)
N (0.0000, 0.2532, 0.2500)

---

FeTc2Hg: optimized geometry, PBE-GGA.

Properties
The crystal system is tetragonal. The formation energy comes out at 76 kJ/mol of atoms. For the raw total energy, the calculation gives -6.59 eV/atom.

a b c (Å): 7.1254 7.1254 5.1365
angles (deg): 90.00 90.00 90.00
Space group I-42d (No. 122)
One atom of each set of equivalent atoms:
Fe (0.0000, 0.0000, 0.0000)
Tc (0.1861, 0.2500, 0.1250)
Hg (0.0000, 0.0000, 0.5000)